# VO2F

A geometry-optimized VO2F structure (PBE with a Hubbard U, the Alexandria database).

Cell: 5.3013 5.3137 12.7686 Å, 91.33 90.36 119.78°
Element x y z (fractional)
V: 0.0000 0.0000 0.0000
V: 0.0320 0.9299 0.4992
V: 0.3575 0.5978 0.6743
V: 0.3978 0.6644 0.1669
V: 0.6284 0.2587 0.8424
V: 0.7574 0.3087 0.3407
O: 0.0643 0.4756 0.2739
O: 0.1160 0.2728 0.0891
O: 0.2085 0.7969 0.5657
O: 0.2550 0.3209 0.5881
O: 0.3810 0.1490 0.9393
O: 0.4721 0.9893 0.7511
O: 0.5093 0.5078 0.7752
O: 0.5722 0.9571 0.2494
O: 0.6330 0.7541 0.0644
O: 0.8015 0.6419 0.4179
O: 0.8383 0.1554 0.4390
O: 0.8621 0.1108 0.9013
F: 0.1560 0.7904 0.1050
F: 0.3142 0.1211 0.3983
F: 0.5360 0.4365 0.2315
F: 0.7371 0.8404 0.6075
F: 0.9159 0.6298 0.9188
F: 0.9931 0.4679 0.7318

Computed properties:
M_tot: 0.000 μB per cell
Space group: P1
Raw total energy: -6.805 eV/atom